[1]
Crystalline Sm8CoIr2 at its relaxed geometry, computed with GGA-PBE.

The energy comes out at -130.745 eV per cell. The volume comes out at 622 Å³ per cell. The value obtained for the energy of formation from the pure elements is -0.254 eV per atom.

The structure belongs to space group Cm (No. 8); the cell edges are 8.468, 12.471 and 6.305 Å and the angles 90.00°, 110.88° and 90.00°. Symmetry generates all atoms from Sm at (0.000, 0.000, 0.000), Sm at (0.064, 0.368, 0.823), Sm at (0.137, 0.133, 0.586), Sm at (0.209, 0.500, 0.391), Sm at (0.357, 0.196, 0.192), Co at (0.356, 0.000, 0.002) and Ir at (0.349, 0.314, 0.700).


[2]
Crystalline Nd5SmHo12 at its relaxed geometry, computed with GGA-PBE.

The energy comes out at -163.384 eV per cell. The volume comes out at 1173 Å³ per cell. The value obtained for the energy of formation from the pure elements is 0.100 eV per atom.

The structure belongs to space group C2/m (No. 12); the cell edges are 11.376, 17.326 and 5.952 Å and the angles 90.00°, 90.00° and 90.00°. Symmetry generates all atoms from Nd at (0.000, 0.000, 0.000), Nd at (0.000, 0.166, 0.500), Nd at (0.000, 0.334, 0.000), Sm at (0.000, 0.500, 0.500), Ho at (0.177, 0.333, 0.552), Ho at (0.178, 0.167, 0.948), Ho at (0.178, 0.500, 0.945) and Ho at (0.179, 0.000, 0.554).


[3]
Crystalline Tb8Cu2Tc at its relaxed geometry, computed with GGA-PBE.

The energy comes out at -113.048 eV per cell. The volume comes out at 570 Å³ per cell. The value obtained for the energy of formation from the pure elements is -0.084 eV per atom.

The structure belongs to space group C2/m (No. 12); the cell edges are 17.262, 5.117 and 6.774 Å and the angles 90.00°, 107.63° and 90.00°. Symmetry generates all atoms from Tb at (0.031, 0.000, 0.295), Tb at (0.091, 0.500, 0.944), Tb at (0.168, 0.500, 0.477), Tb at (0.197, 0.000, 0.818), Cu at (0.183, 0.000, 0.213) and Tc at (0.000, 0.500, 0.500).


[4]
Crystalline CoRuCl2 at its relaxed geometry, computed with GGA-PBE.

The value obtained for the uncorrected formation energy is 0.5866 eV/atom. The energy comes out at -17.729 eV per cell. The volume comes out at 64 Å³ per cell.

The structure belongs to space group P2/m (No. 10); the cell edges are 3.118, 3.901 and 5.302 Å and the angles 90.00°, 96.17° and 90.00°. Symmetry generates all atoms from Co at (0.000, 0.000, 0.000), Ru at (0.500, 0.000, 0.500) and Cl at (0.273, 0.500, 0.248).


[5]
Crystalline Pr2YIn3Te6 at its relaxed geometry, computed with GGA-PBE.

The value obtained for the uncorrected formation energy is -0.9896 eV/atom. The energy comes out at -109.927 eV per cell. The volume comes out at 856 Å³ per cell.

The structure belongs to space group C2/m (No. 12); the cell edges are 7.808, 13.521 and 8.517 Å and the angles 90.00°, 107.80° and 90.00°. Symmetry generates all atoms from Pr at (0.000, 0.166, 0.000), Y at (0.000, 0.500, 0.000), In at (0.000, 0.000, 0.500), In at (0.000, 0.331, 0.500), Te at (0.237, 0.338, 0.225) and Te at (0.249, 0.500, 0.773).


[6]
Crystalline TbTmAlCr at its relaxed geometry, computed with GGA-PBE.

The energy comes out at -90.283 eV per cell. The volume comes out at 369 Å³ per cell. The value obtained for the energy of formation from the pure elements is -0.026 eV per atom.

The structure belongs to space group F-43m (No. 216); the cell edges are 7.175, 7.175 and 7.175 Å and the angles 90.00°, 90.00° and 90.00°. Symmetry generates all atoms from Tb at (0.000, 0.000, 0.000), Tm at (0.000, 0.000, 0.500), Al at (0.250, 0.250, 0.750) and Cr at (0.250, 0.250, 0.250).


[7]
Crystalline TePW3 at its relaxed geometry, computed with GGA-PBE.

The value obtained for the uncorrected formation energy is 2.7920 eV/atom. The energy comes out at -33.451 eV per cell. The volume comes out at 117 Å³ per cell.

The structure belongs to space group Pm-3m (No. 221); the cell edges are 4.892, 4.892 and 4.892 Å and the angles 90.00°, 90.00° and 90.00°. Symmetry generates all atoms from Te at (0.000, 0.000, 0.000), P at (0.500, 0.500, 0.500) and W at (0.000, 0.000, 0.500).


[8]
Crystalline SrTaTl at its relaxed geometry, computed with GGA-PBE.

The energy comes out at -13.873 eV per cell. The volume comes out at 78 Å³ per cell. The value obtained for the energy of formation from the pure elements is 0.676 eV per atom.

The structure belongs to space group P3m1 (No. 156); the cell edges are 3.3267, 3.3267 and 8.1464 Å and the angles 90.00°, 90.00° and 120.00°. Symmetry generates all atoms from Sr at (0.0000, 0.0000, 0.0000), Ta at (0.6667, 0.3333, 0.3362) and Tl at (0.3333, 0.6667, 0.6374).


[9]
Crystalline Sm8AgHg2 at its relaxed geometry, computed with GGA-PBE.

The energy comes out at -86.902 eV per cell. The volume comes out at 660 Å³ per cell. The value obtained for the energy of formation from the pure elements is -0.204 eV per atom.

The structure belongs to space group C2/m (No. 12); the cell edges are 18.123, 5.391 and 6.766 Å and the angles 90.00°, 92.79° and 90.00°. Symmetry generates all atoms from Sm at (0.033, 0.000, 0.259), Sm at (0.092, 0.500, 0.910), Sm at (0.173, 0.500, 0.406), Sm at (0.210, 0.000, 0.085), Ag at (0.000, 0.500, 0.500) and Hg at (0.151, 0.000, 0.642).


[10]
Crystalline Tb2Ga5Co2Ag at its relaxed geometry, computed with GGA-PBE.

The energy comes out at -90.820 eV per cell. The volume comes out at 348 Å³ per cell. The value obtained for the energy of formation from the pure elements is -0.395 eV per atom.

The structure belongs to space group P4/mbm (No. 127); the cell edges are 9.261, 9.261 and 4.061 Å and the angles 90.00°, 90.00° and 90.00°. Symmetry generates all atoms from Tb at (0.182, 0.318, 0.000), Ga at (0.000, 0.500, 0.500), Ga at (0.064, 0.785, 0.500), Co at (0.111, 0.611, 0.000) and Ag at (0.000, 0.000, 0.000).


[11]
Crystalline Cs2K2Pd at its relaxed geometry, computed with GGA-PBE.

The energy comes out at -16.479 eV per cell. The volume comes out at 591 Å³ per cell. The value obtained for the energy of formation from the pure elements is 0.171 eV per atom.

The structure belongs to space group P4/mbm (No. 127); the cell edges are 8.912, 8.912 and 7.442 Å and the angles 90.00°, 90.00° and 90.00°. Symmetry generates all atoms from Cs at (0.197, 0.303, 0.000), K at (0.171, 0.671, 0.500) and Pd at (0.000, 0.000, 0.500).


[12]
Crystalline UTl3Ge2Te6 at its relaxed geometry, computed with GGA-PBE.

The value obtained for the uncorrected formation energy is -0.3395 eV/atom. The energy comes out at -101.091 eV per cell. The volume comes out at 807 Å³ per cell.

The structure belongs to space group C2/m (No. 12); the cell edges are 7.665, 13.262 and 8.335 Å and the angles 90.00°, 107.77° and 90.00°. Symmetry generates all atoms from U at (0.000, 0.000, 0.000), Tl at (0.000, 0.167, 0.500), Tl at (0.000, 0.500, 0.500), Ge at (0.000, 0.333, 0.000), Te at (0.232, 0.165, 0.203) and Te at (0.239, 0.500, 0.205).